No. 1
Material: SmEr5Pt4
Method: DFT, GGA-PBE
State: relaxed

Output
The energy of formation from the pure elements comes out at -23.25 kcal/mol of atoms. The value obtained for the density of states at the Fermi level is 5.37 states/eV/f.u.

abc: 9.420 9.420 7.609
angles: 113.70 113.70 25.85
Fractional coordinates of all 10 atoms:
Sm 0.000 0.000 0.000
Er 0.000 0.000 0.500
Er 0.335 0.335 0.076
Er 0.335 0.335 0.593
Er 0.665 0.665 0.407
Er 0.665 0.665 0.924
Pt 0.205 0.205 0.205
Pt 0.500 0.500 0.263
Pt 0.500 0.500 0.737
Pt 0.795 0.795 0.795

---

No. 2
Material: Sm2Er3Pt2
Method: DFT, GGA-PBE
State: relaxed

Output
The energy of formation from the pure elements comes out at -18.33 kcal/mol of atoms. The value obtained for the density of states at the Fermi level is 8.10 states/eV/f.u.

abc: 12.372 3.752 9.062
angles: 90.00 117.01 90.00
Fractional coordinates of all 14 atoms:
Sm 0.161 0.000 0.311
Sm 0.339 0.500 0.689
Sm 0.661 0.500 0.311
Sm 0.839 0.000 0.689
Er 0.000 0.500 0.500
Er 0.116 0.500 0.936
Er 0.384 0.000 0.064
Er 0.500 0.000 0.500
Er 0.616 0.000 0.936
Er 0.884 0.500 0.064
Pt 0.169 0.000 0.741
Pt 0.331 0.500 0.259
Pt 0.669 0.500 0.741
Pt 0.831 0.000 0.259

---

No. 3
Material: Sm2ErPt9
Method: DFT, GGA-PBE
State: relaxed

Output
The energy of formation from the pure elements comes out at -22.49 kcal/mol of atoms. The value obtained for the density of states at the Fermi level is 10.74 states/eV/f.u.

abc: 4.146 4.146 12.438
angles: 90.00 90.00 90.00
Fractional coordinates of all 12 atoms:
Sm 0.000 0.000 0.168
Sm 0.000 0.000 0.832
Er 0.000 0.000 0.500
Pt 0.000 0.500 0.000
Pt 0.000 0.500 0.338
Pt 0.000 0.500 0.662
Pt 0.500 0.000 0.000
Pt 0.500 0.000 0.338
Pt 0.500 0.000 0.662
Pt 0.500 0.500 0.169
Pt 0.500 0.500 0.500
Pt 0.500 0.500 0.831

---

No. 4
Material: SmEr2Pt2
Method: DFT, GGA-PBE
State: relaxed

Output
The energy of formation from the pure elements comes out at -24.05 kcal/mol of atoms. The value obtained for the density of states at the Fermi level is 3.67 states/eV/f.u.

abc: 5.458 4.605 10.380
angles: 90.00 97.70 90.00
Fractional coordinates of all 10 atoms:
Sm 0.068 0.250 0.283
Sm 0.932 0.750 0.717
Er 0.273 0.750 0.031
Er 0.379 0.250 0.614
Er 0.621 0.750 0.386
Er 0.727 0.250 0.969
Pt 0.158 0.750 0.472
Pt 0.200 0.250 0.867
Pt 0.800 0.750 0.133
Pt 0.842 0.250 0.528

---

No. 5
Material: SmEr2Pt2
Method: DFT, GGA-PBE
State: relaxed

Output
The energy of formation from the pure elements comes out at -24.07 kcal/mol of atoms. The value obtained for the density of states at the Fermi level is 3.23 states/eV/f.u.

abc: 5.412 4.609 10.430
angles: 90.00 99.06 90.00
Fractional coordinates of all 10 atoms:
Sm 0.085 0.250 0.285
Sm 0.915 0.750 0.715
Er 0.255 0.250 0.970
Er 0.391 0.250 0.616
Er 0.609 0.750 0.384
Er 0.745 0.750 0.030
Pt 0.154 0.750 0.475
Pt 0.273 0.750 0.134
Pt 0.727 0.250 0.866
Pt 0.846 0.250 0.525

---

No. 6
Material: SmErPt2
Method: DFT, GGA-PBE
State: relaxed

Output
The energy of formation from the pure elements comes out at -27.01 kcal/mol of atoms. The value obtained for the offset from the most stable computed form is 75 meV/atom. The value obtained for the density of states at the Fermi level is 3.24 states/eV/f.u.

abc: 7.040 7.040 7.040
angles: 90.00 90.00 90.00
Fractional coordinates of all 16 atoms:
Sm 0.000 0.000 0.000
Sm 0.000 0.500 0.500
Sm 0.500 0.000 0.500
Sm 0.500 0.500 0.000
Er 0.000 0.000 0.500
Er 0.000 0.500 0.000
Er 0.500 0.000 0.000
Er 0.500 0.500 0.500
Pt 0.250 0.250 0.250
Pt 0.250 0.250 0.750
Pt 0.250 0.750 0.250
Pt 0.250 0.750 0.750
Pt 0.750 0.250 0.250
Pt 0.750 0.250 0.750
Pt 0.750 0.750 0.250
Pt 0.750 0.750 0.750

---

No. 7
Material: Sm2Er2Pt3
Method: DFT, GGA-PBE
State: relaxed

Output
The energy of formation from the pure elements comes out at -24.77 kcal/mol of atoms. The value obtained for the density of states at the Fermi level is 4.15 states/eV/f.u.

abc: 7.609 7.609 7.609
angles: 109.47 109.47 109.47
Fractional coordinates of all 14 atoms:
Sm 0.000 0.373 0.500
Sm 0.127 0.127 0.127
Sm 0.373 0.500 0.000
Sm 0.500 0.000 0.373
Er 0.000 0.876 0.500
Er 0.500 0.000 0.876
Er 0.624 0.624 0.624
Er 0.876 0.500 0.000
Pt 0.117 0.750 0.867
Pt 0.250 0.633 0.383
Pt 0.383 0.250 0.633
Pt 0.633 0.383 0.250
Pt 0.750 0.867 0.117
Pt 0.867 0.117 0.750

---

No. 8
Material: Sm3ErPt8
Method: DFT, GGA-PBE
State: relaxed

Output
The energy of formation from the pure elements comes out at -25.30 kcal/mol of atoms. The value obtained for the density of states at the Fermi level is 3.19 states/eV/f.u.

abc: 9.477 9.477 9.477
angles: 33.54 33.54 33.54
Fractional coordinates of all 12 atoms:
Sm 0.000 0.000 0.000
Sm 0.126 0.126 0.126
Sm 0.502 0.502 0.502
Er 0.626 0.626 0.626
Pt 0.062 0.563 0.563
Pt 0.064 0.064 0.564
Pt 0.064 0.564 0.064
Pt 0.313 0.313 0.313
Pt 0.563 0.062 0.563
Pt 0.563 0.563 0.062
Pt 0.564 0.064 0.064
Pt 0.813 0.813 0.813

---

No. 9
Material: SmErPt2
Method: DFT, GGA-PBE
State: relaxed

Output
The energy of formation from the pure elements comes out at -25.75 kcal/mol of atoms. The value obtained for the offset from the most stable computed form is 130 meV/atom. The value obtained for the density of states at the Fermi level is 2.14 states/eV/f.u.

abc: 4.093 4.093 20.049
angles: 90.00 90.00 120.00
Fractional coordinates of all 12 atoms:
Sm 0.000 0.000 0.000
Sm 0.333 0.667 0.667
Sm 0.667 0.333 0.333
Er 0.000 0.000 0.500
Er 0.333 0.667 0.167
Er 0.667 0.333 0.833
Pt 0.000 0.000 0.246
Pt 0.000 0.000 0.754
Pt 0.333 0.667 0.420
Pt 0.333 0.667 0.913
Pt 0.667 0.333 0.087
Pt 0.667 0.333 0.580

---

No. 10
Material: Sm2ErSn3Pt4
Method: DFT, GGA-PBE
State: relaxed

Output
The energy of formation from the pure elements comes out at -20.68 kcal/mol of atoms. The value obtained for the density of states at the Fermi level is 7.54 states/eV/f.u.

abc: 4.557 4.557 11.195
angles: 90.00 90.00 90.00
Fractional coordinates of all 10 atoms:
Sm 0.000 0.500 0.216
Sm 0.500 0.000 0.784
Er 0.000 0.000 0.500
Sn 0.000 0.500 0.873
Sn 0.500 0.000 0.127
Sn 0.500 0.500 0.500
Pt 0.000 0.000 0.000
Pt 0.000 0.500 0.642
Pt 0.500 0.000 0.358
Pt 0.500 0.500 0.000

---

Among the records above, which one has the lowest energy of formation from the pure elements? number 6